## CoHgCl2 (PBE)

Data for CoHgCl2 after structural relaxation.

a = 10.647 Å, b = 10.647 Å, c = 10.647 Å
α = 19.08°, β = 19.08°, γ = 19.08°
Element x y z (fractional)
1 Co 0.000 0.000 0.000
2 Hg 0.500 0.500 0.500
3 Cl 0.934 0.934 0.934
4 Cl 0.066 0.066 0.066

Results
Symmetry ... R-3m, No. 166


## CoHgCl5 (PBE)

Data for CoHgCl5 after structural relaxation.

a = 6.697 Å, b = 8.089 Å, c = 9.800 Å
α = 114.66°, β = 106.44°, γ = 89.26°
Element x y z (fractional)
1 Co 0.940 0.651 0.276
2 Co 0.060 0.349 0.724
3 Hg 0.500 0.000 0.000
4 Hg 0.500 0.000 0.500
5 Cl 0.819 0.739 0.094
6 Cl 0.294 0.688 0.342
7 Cl 0.382 0.091 0.220
8 Cl 0.858 0.811 0.492
9 Cl 0.142 0.189 0.508
10 Cl 0.860 0.365 0.202
11 Cl 0.140 0.635 0.798
12 Cl 0.618 0.909 0.780
13 Cl 0.706 0.312 0.658
14 Cl 0.181 0.261 0.906

Results
Symmetry ... P-1, No. 2


How do the records compare in ΔE_f (raw)? In the order shown, they have -64; -502 meV per atom.
How do the records compare in final energy? In the order shown, they have -2.839; -2.880 eV per atom.